[1]
Material: TbSm6Tm2Mg
Method: DFT, GGA-PBE
State: relaxed

Cell lengths 9.2237, 8.8683, 8.8683 Å; angles 116.95, 92.33, 92.33 degrees
Fractional positions:
Mg  0.2500  0.4187  0.5813
Mg  0.7500  0.5813  0.4187
Tb  0.2500  0.9717  0.0283
Tb  0.7500  0.0283  0.9717
Tm  0.9471  0.6895  0.7944
Tm  0.0529  0.3105  0.2056
Tm  0.5529  0.2056  0.3105
Tm  0.4471  0.7944  0.6895
Sm  0.3961  0.5107  0.2866
Sm  0.1967  0.5599  0.9940
Sm  0.0525  0.1257  0.7770
Sm  0.8033  0.4401  0.0060
Sm  0.1039  0.7134  0.4893
Sm  0.8961  0.2866  0.5107
Sm  0.5525  0.7770  0.1257
Sm  0.9475  0.8743  0.2230
Sm  0.6967  0.9940  0.5599
Sm  0.3033  0.0060  0.4401
Sm  0.6039  0.4893  0.7134
Sm  0.4475  0.2230  0.8743

- electronic total energy (eV per atom) = -4.225
- ΔE_f (eV per atom) = 0.1231

[2]
Material: TbSmTmMg
Method: DFT, GGA-PBE
State: relaxed

Cell lengths 5.5121, 5.5121, 5.5121 Å; angles 60.00, 60.00, 60.00 degrees
Fractional positions:
Sm  0.7500  0.7500  0.7500
Tb  0.2500  0.2500  0.2500
Tm  0.5000  0.5000  0.5000
Mg  0.0000  0.0000  0.0000

- energy above the most stable polymorph in this dataset (meV/atom) = 51
- electronic total energy (eV per atom) = -3.829
- ΔE_f (eV per atom) = 0.0253